Entry 1:
Density functional theory data (PBE-GGA) for a geometry-optimized CsHfOs2Cl structure.

Cell and atoms, written as CIF:
```
data_CsHfOs2Cl
_cell_length_a 4.9684
_cell_length_b 5.3981
_cell_length_c 4.9684
_cell_angle_alpha 90.00
_cell_angle_beta 90.00
_cell_angle_gamma 90.00
_space_group_name_H-M_alt 'P 1'
_space_group_IT_number 1
_space_group_name_Hall 'P 1'
loop_
_atom_site_label
_atom_site_fract_x
_atom_site_fract_y
_atom_site_fract_z
Cs1 0.0000 0.0000 0.0000
Os1 0.0000 0.0000 0.5000
Os2 0.5000 0.0000 0.0000
Cl1 0.0000 0.5000 0.0000
Hf1 0.5000 0.5000 0.5000
```

Fermi-level density of states, states/eV/f.u.: 6.0
Total energy, eV per atom: -4.1415
M_tot, μB per cell: 0.991
Formation energy (no corrections), eV/f.u.: 14.41



Entry 2:
Density functional theory data (PBE-GGA) for a geometry-optimized Cs2HfOsCl6 structure.

Cell and atoms, written as CIF:
```
data_Cs2HfOsCl6
_cell_length_a 7.9300
_cell_length_b 7.9300
_cell_length_c 7.3529
_cell_angle_alpha 57.37
_cell_angle_beta 57.37
_cell_angle_gamma 90.00
_space_group_name_H-M_alt 'P 1'
_space_group_IT_number 1
_space_group_name_Hall 'P 1'
loop_
_atom_site_label
_atom_site_fract_x
_atom_site_fract_y
_atom_site_fract_z
Cl1 0.2434 0.2434 0.5131
Cl2 0.2765 0.2765 0.0000
Cl3 0.2765 0.7235 0.0000
Cl4 0.7235 0.2765 0.0000
Cl5 0.7235 0.7235 0.0000
Cl6 0.7566 0.7566 0.4869
Hf1 0.5000 0.5000 0.0000
Os1 0.0000 0.0000 0.0000
Cs1 0.2500 0.7500 0.5000
Cs2 0.7500 0.2500 0.5000
```

Fermi-level density of states, states/eV/f.u.: 3.1
Total energy, eV per atom: -4.4640
M_tot, μB per cell: 2.000
Formation energy (no corrections), eV/f.u.: -10.67



Entry 3:
Density functional theory data (PBE-GGA) for a geometry-optimized Cs2HfPdCl6 structure.

Cell and atoms, written as CIF:
```
data_Cs2HfPdCl6
_cell_length_a 7.2867
_cell_length_b 7.2867
_cell_length_c 7.6619
_cell_angle_alpha 61.61
_cell_angle_beta 61.61
_cell_angle_gamma 90.00
_space_group_name_H-M_alt 'P 1'
_space_group_IT_number 1
_space_group_name_Hall 'P 1'
loop_
_atom_site_label
_atom_site_fract_x
_atom_site_fract_y
_atom_site_fract_z
Pd1 0.5000 0.5000 0.0000
Cl1 0.7594 0.7594 0.0000
Cl2 0.2406 0.7594 0.0000
Cl3 0.7811 0.7811 0.4379
Cl4 0.7594 0.2406 0.0000
Cl5 0.2406 0.2406 0.0000
Cl6 0.2189 0.2189 0.5621
Hf1 0.0000 0.0000 0.0000
Cs1 0.7500 0.2500 0.5000
Cs2 0.2500 0.7500 0.5000
```

Fermi-level density of states, states/eV/f.u.: 0.0
Total energy, eV per atom: -4.3687
M_tot, μB per cell: 0.000
Formation energy (no corrections), eV/f.u.: -15.75



Entry 4:
Density functional theory data (PBE-GGA) for a geometry-optimized Cs2HfRhCl6 structure.

Cell and atoms, written as CIF:
```
data_Cs2HfRhCl6
_cell_length_a 7.8120
_cell_length_b 7.8120
_cell_length_c 7.3586
_cell_angle_alpha 57.94
_cell_angle_beta 57.94
_cell_angle_gamma 90.00
_space_group_name_H-M_alt 'P 1'
_space_group_IT_number 1
_space_group_name_Hall 'P 1'
loop_
_atom_site_label
_atom_site_fract_x
_atom_site_fract_y
_atom_site_fract_z
Cl1 0.2257 0.2257 0.0000
Cl2 0.7743 0.2257 0.0000
Cl3 0.7468 0.7468 0.5063
Cl4 0.2532 0.2532 0.4937
Cl5 0.2257 0.7743 0.0000
Cl6 0.7743 0.7743 0.0000
Hf1 0.0000 0.0000 0.0000
Rh1 0.5000 0.5000 0.0000
Cs1 0.2500 0.7500 0.5000
Cs2 0.7500 0.2500 0.5000
```

Fermi-level density of states, states/eV/f.u.: 5.9
Total energy, eV per atom: -4.4284
M_tot, μB per cell: 1.000
Formation energy (no corrections), eV/f.u.: -14.19



Entry 5:
Density functional theory data (PBE-GGA) for a geometry-optimized Cs2HfRuCl6 structure.

Cell and atoms, written as CIF:
```
data_Cs2HfRuCl6
_cell_length_a 7.3203
_cell_length_b 7.3203
_cell_length_c 7.3447
_cell_angle_alpha 60.11
_cell_angle_beta 60.11
_cell_angle_gamma 90.00
_space_group_name_H-M_alt 'P 1'
_space_group_IT_number 1
_space_group_name_Hall 'P 1'
loop_
_atom_site_label
_atom_site_fract_x
_atom_site_fract_y
_atom_site_fract_z
Ru1 0.5000 0.5000 0.0000
Cs1 0.7500 0.2500 0.5000
Cs2 0.2500 0.7500 0.5000
Hf1 0.0000 0.0000 0.0000
Cl1 0.2411 0.7589 0.0000
Cl2 0.7603 0.7603 0.4794
Cl3 0.2411 0.2411 0.0000
Cl4 0.7589 0.7589 0.0000
Cl5 0.7589 0.2411 0.0000
Cl6 0.2397 0.2397 0.5206
```

Fermi-level density of states, states/eV/f.u.: 0.0
Total energy, eV per atom: -4.4984
M_tot, μB per cell: 2.000
Formation energy (no corrections), eV/f.u.: -12.97



Entry 6:
Density functional theory data (PBE-GGA) for a geometry-optimized CsHfSe2Cl structure.

Cell and atoms, written as CIF:
```
data_CsHfSe2Cl
_cell_length_a 5.2645
_cell_length_b 5.2645
_cell_length_c 5.2443
_cell_angle_alpha 90.00
_cell_angle_beta 90.00
_cell_angle_gamma 90.00
_space_group_name_H-M_alt 'P 1'
_space_group_IT_number 1
_space_group_name_Hall 'P 1'
loop_
_atom_site_label
_atom_site_fract_x
_atom_site_fract_y
_atom_site_fract_z
Cl1 0.0000 0.0000 0.5000
Se1 0.5000 0.0000 0.0000
Se2 0.0000 0.5000 0.0000
Cs1 0.5000 0.5000 0.5000
Hf1 0.0000 0.0000 0.0000
```

Fermi-level density of states, states/eV/f.u.: 0.6
Total energy, eV per atom: -5.3243
M_tot, μB per cell: 0.000
Formation energy (no corrections), eV/f.u.: -7.00